## Pm4Pr2Nd3 (PBE)

Data for a relaxed structure of Pm4Pr2Nd3.

Output
The calculation puts the energy of formation at 0.01 eV/atom. For the raw total energy, the calculation gives -4.750 eV per atom. For the energy above the lowest structure with this stoichiometry, the calculation gives 0 meV per atom. The density of states at the Fermi level comes out at 14.23 states/eV/f.u.

Unit cell a=6.366 b=6.370 c=13.239 alpha=118.72 beta=103.87 gamma=119.98
Fractional positions:
Pm1 0.667 0.334 0.000
Pm2 0.333 0.666 0.000
Pm3 0.890 0.779 0.667
Pm4 0.110 0.221 0.333
Pr1 0.777 0.554 0.333
Pr2 0.223 0.446 0.667
Nd1 0.557 0.112 0.667
Nd2 0.000 0.000 0.000
Nd3 0.443 0.888 0.333

## PmPr2Nd (PBE)

Data for a relaxed structure of PmPr2Nd.

Output
The calculation puts the energy of formation at 0.01 eV/atom. For the raw total energy, the calculation gives -4.758 eV per atom. For the energy above the lowest structure with this stoichiometry, the calculation gives 0 meV per atom. The density of states at the Fermi level comes out at 5.95 states/eV/f.u.

Unit cell a=3.692 b=3.692 c=12.239 alpha=81.33 beta=81.33 gamma=60.00
Fractional positions:
Pr1 0.750 0.750 0.751
Pr2 0.250 0.250 0.249
Nd1 0.500 0.500 0.500
Pm1 0.000 0.000 0.000

Q: Number 1 is which compound?
A: Pm4Pr2Nd3